Compound: CsNbIN2
Source: Alexandria
Functional: GGA-PBE
Structure: optimized geometry

Theoretical density (g/cm3): 5.5
Excess energy over the best structure of this formula in the dataset (eV/atom): 0.000

a = 4.444 Å, b = 4.444 Å, c = 5.776 Å
α = 90.00°, β = 90.00°, γ = 90.00°
Space group P4/mmm (No. 123)
One atom of each set of equivalent atoms:
Cs (0.000, 0.000, 0.000) [1 per cell]
Nb (0.500, 0.500, 0.500) [1 per cell]
I (0.500, 0.500, 0.000) [1 per cell]
N (0.000, 0.500, 0.500) [2 per cell]